--- P ---
# Ti2BeZn2

A geometry-optimized Ti2BeZn2 structure (PBE-GGA, Alexandria).

mass density = 5.341 Mg/m³
total magnetic moment = 0.39 μB/f.u.

abc: 2.6709 19.9089 2.7547
angles: 90.00 90.00 90.00
Closest atoms and distances in Å follow each position.
Space group Cmmm (No. 65)
One atom of each set of equivalent atoms:
Ti1 0.0000 0.0838 0.0000  4 Be 2.54, 4 Ti 2.67-2.75
Be1 0.0000 0.5000 0.5000  8 Ti 2.54, 4 Be 2.67-2.75
Zn1 0.0000 0.3086 0.5000  6 Zn 2.67-2.75, 4 Ti 2.88

--- Q ---
# Ti2BeZn2

A geometry-optimized Ti2BeZn2 structure (PBE-GGA, Alexandria).

mass density = 5.314 Mg/m³
total magnetic moment = 0.00 μB/f.u.

abc: 6.0084 6.0084 4.0784
angles: 90.00 90.00 90.00
Closest atoms and distances in Å follow each position.
Space group P4/mbm (No. 127)
One atom of each set of equivalent atoms:
Ti1 0.1678 0.3322 0.0000  6 Zn 2.60-2.77, 1 Ti 2.85
Be1 0.0000 0.0000 0.5000  4 Zn 2.31
Zn1 0.1430 0.6430 0.5000  2 Be 2.31, 1 Zn 2.43

Of them, Q has the lowest stability.

--- P ---
# ZrTiBe3

A geometry-optimized ZrTiBe3 structure (PBE-GGA, Alexandria).

mass density = 3.167 Mg/m³
total magnetic moment = 1.80 μB/f.u.

abc: 4.4329 4.4329 4.4329
angles: 90.00 90.00 90.00
Closest atoms and distances in Å follow each position.
Space group Pm-3m (No. 221)
One atom of each set of equivalent atoms:
Zr1 0.0000 0.0000 0.0000  6 Be 2.22
Ti1 0.5000 0.5000 0.5000  12 Be 3.13
Be1 0.0000 0.0000 0.5000  2 Zr 2.22

--- Q ---
# ZrTiBe3

A geometry-optimized ZrTiBe3 structure (PBE-GGA, Alexandria).

mass density = 3.609 Mg/m³
total magnetic moment = 2.03 μB/f.u.

abc: 4.2440 4.2440 4.2440
angles: 90.00 90.00 90.00
Closest atoms and distances in Å follow each position.
Space group Pm-3m (No. 221)
One atom of each set of equivalent atoms:
Zr1 0.0000 0.0000 0.0000  12 Be 3.00
Ti1 0.5000 0.5000 0.5000  6 Be 2.12
Be1 0.0000 0.5000 0.5000  2 Ti 2.12

Of them, P has the lowest stability.

--- P ---
# BeTl

A geometry-optimized BeTl structure (PBE-GGA, Alexandria).

mass density = 8.534 Mg/m³
total magnetic moment = 0.00 μB/f.u.

abc: 2.9336 3.1799 8.9018
angles: 90.09 90.05 90.00
Closest atoms and distances in Å follow each position.
Space group P1 (No. 1)
One atom of each set of equivalent atoms:
Be1 0.0000 0.0000 0.0000  4 Be 2.25
Be2 0.5003 0.5003 0.0677  4 Be 2.25
Tl1 0.4917 0.5046 0.7359  4 Tl 2.93-3.18, 5 Be 2.95-3.21
Tl2 0.9926 0.0097 0.3321  4 Tl 2.93-3.18, 5 Be 2.96-3.22

--- Q ---
# BeTl

A geometry-optimized BeTl structure (PBE-GGA, Alexandria).

mass density = 7.678 Mg/m³
total magnetic moment = 0.00 μB/f.u.

abc: 8.1852 8.1852 5.5110
angles: 90.00 90.00 90.00
Closest atoms and distances in Å follow each position.
Space group I4/m (No. 87)
One atom of each set of equivalent atoms:
Be1 0.0888 0.4034 0.0000  1 Be 2.15
Tl1 0.1729 0.2789 0.5000  3 Be 2.46-2.61

--- R ---
# BeTl

A geometry-optimized BeTl structure (PBE-GGA, Alexandria).

mass density = 8.422 Mg/m³
total magnetic moment = 0.00 μB/f.u.

abc: 3.8665 6.6118 6.5833
angles: 90.00 90.47 90.00
Closest atoms and distances in Å follow each position.
Space group C2/m (No. 12)
One atom of each set of equivalent atoms:
Be1 0.0000 0.1679 0.0000  3 Be 2.22
Tl1 0.0044 0.5000 0.2664  6 Be 2.81-2.84, 1 Tl 3.08

--- S ---
# BeTl

A geometry-optimized BeTl structure (PBE-GGA, Alexandria).

mass density = 7.180 Mg/m³
total magnetic moment = 0.00 μB/f.u.

abc: 7.3360 7.3360 7.3360
angles: 90.00 90.00 90.00
Closest atoms and distances in Å follow each position.
Space group I-43m (No. 217)
One atom of each set of equivalent atoms:
Be1 0.1034 0.1034 0.1034  3 Be 2.14, 1 Tl 2.34
Tl1 0.2128 0.2128 0.7872  4 Be 2.34-2.58

Of them, Q has the lowest stability.

--- P ---
# BeTl2

A geometry-optimized BeTl2 structure (PBE-GGA, Alexandria).

mass density = 7.431 Mg/m³
total magnetic moment = 0.00 μB/f.u.

abc: 6.3040 6.3040 10.8496
angles: 90.00 90.00 120.00
Closest atoms and distances in Å follow each position.
Space group P6_3/mmc (No. 194)
One atom of each set of equivalent atoms:
Be1 0.3333 0.6667 0.0532  3 Tl 2.80
Tl1 0.0000 0.0000 0.0000  6 Tl 3.27
Tl2 0.1670 0.3341 0.2500  2 Be 2.80

--- Q ---
# BeTl2

A geometry-optimized BeTl2 structure (PBE-GGA, Alexandria).

mass density = 8.975 Mg/m³
total magnetic moment = 0.00 μB/f.u.

abc: 5.4730 5.4730 2.9797
angles: 90.00 90.00 120.00
Closest atoms and distances in Å follow each position.
Space group P6/mmm (No. 191)
One atom of each set of equivalent atoms:
Be1 0.0000 0.0000 0.0000  2 Be 2.98
Tl1 0.3333 0.6667 0.5000  5 Tl 2.98-3.16

--- R ---
# BeTl2

A geometry-optimized BeTl2 structure (PBE-GGA, Alexandria).

mass density = 9.769 Mg/m³
total magnetic moment = 0.00 μB/f.u.

abc: 3.2867 3.2867 26.2958
angles: 90.00 90.00 90.00
Closest atoms and distances in Å follow each position.
Space group I4_1/amd (No. 141, origin choice 2)
One atom of each set of equivalent atoms:
Be1 0.0000 0.2500 0.3750  8 Tl 2.92
Tl1 0.0000 0.2500 0.8077  4 Be 2.92

--- S ---
# BeTl2

A geometry-optimized BeTl2 structure (PBE-GGA, Alexandria).

mass density = 9.116 Mg/m³
total magnetic moment = 0.00 μB/f.u.

abc: 4.3662 14.2728 4.8846
angles: 90.00 90.00 90.00
Closest atoms and distances in Å follow each position.
Space group Cmcm (No. 63)
One atom of each set of equivalent atoms:
Be1 0.0000 0.1896 0.2500  4 Tl 2.45-2.72
Tl1 0.0000 0.1770 0.7500  2 Be 2.45
Tl2 0.0000 0.4242 0.7500  2 Be 2.72

Of them, P has the lowest stability.

--- P ---
# BeTl2

A geometry-optimized BeTl2 structure (PBE-GGA, Alexandria).

mass density = 9.895 Mg/m³
total magnetic moment = 0.00 μB/f.u.

abc: 6.5455 6.5455 6.5455
angles: 90.00 90.00 90.00
Closest atoms and distances in Å follow each position.
Space group Pa-3 (No. 205)
One atom of each set of equivalent atoms:
Be1 0.0000 0.0000 0.0000  6 Tl 2.67
Tl1 0.1601 0.6601 0.8399  3 Be 2.67

--- Q ---
# BeTl2

A geometry-optimized BeTl2 structure (PBE-GGA, Alexandria).

mass density = 9.897 Mg/m³
total magnetic moment = 0.00 μB/f.u.

abc: 3.2852 3.2852 12.9895
angles: 90.00 90.00 90.00
Closest atoms and distances in Å follow each position.
Space group I4/mmm (No. 139)
One atom of each set of equivalent atoms:
Be1 0.0000 0.0000 0.0000  8 Tl 2.94, 4 Be 3.29
Tl1 0.0000 0.0000 0.3612  4 Be 2.94, 4 Tl 3.29

Of them, Q has the lowest stability.

--- P ---
# BeTl4

A geometry-optimized BeTl4 structure (PBE-GGA, Alexandria).

mass density = 8.739 Mg/m³
total magnetic moment = 0.00 μB/f.u.

abc: 4.2564 4.2564 17.3384
angles: 90.00 90.00 90.00
Closest atoms and distances in Å follow each position.
Space group I4/mmm (No. 139)
One atom of each set of equivalent atoms:
Be1 0.0000 0.0000 0.0000  8 Tl 3.38
Tl1 0.0000 0.0000 0.4115  1 Tl 3.07, 4 Be 3.38
Tl2 0.0000 0.5000 0.2500  4 Tl 3.01

--- Q ---
# BeTl4

A geometry-optimized BeTl4 structure (PBE-GGA, Alexandria).

mass density = 10.013 Mg/m³
total magnetic moment = 0.00 μB/f.u.

abc: 5.1560 5.1560 5.1560
angles: 90.00 90.00 90.00
Closest atoms and distances in Å follow each position.
Space group Pm-3m (No. 221)
One atom of each set of equivalent atoms:
Be1 0.0000 0.0000 0.0000  6 Tl 2.58
Tl1 0.0000 0.0000 0.5000  2 Be 2.58
Tl2 0.5000 0.5000 0.5000  12 Tl 3.65

Of them, P has the lowest stability.

--- P ---
# Be2Tl

A geometry-optimized Be2Tl structure (PBE-GGA, Alexandria).

mass density = 8.229 Mg/m³
total magnetic moment = 0.00 μB/f.u.

abc: 7.1076 7.1076 7.1076
angles: 90.00 90.00 90.00
Closest atoms and distances in Å follow each position.
Space group Fd-3m (No. 227, origin choice 2)
One atom of each set of equivalent atoms:
Be1 0.0000 0.0000 0.0000  6 Be 2.51
Tl1 0.1250 0.1250 0.6250  12 Be 2.95, 4 Tl 3.08

--- Q ---
# Be2Tl

A geometry-optimized Be2Tl structure (PBE-GGA, Alexandria).

mass density = 7.731 Mg/m³
total magnetic moment = 0.00 μB/f.u.

abc: 10.6323 3.5424 5.5231
angles: 90.00 113.29 90.00
Closest atoms and distances in Å follow each position.
Space group C2/m (No. 12)
One atom of each set of equivalent atoms:
Be1 0.0564 0.0000 0.3983  1 Be 1.94
Be2 0.0851 0.5000 0.6624  1 Be 1.98
Tl1 0.1754 0.5000 0.1827  6 Be 2.65-2.94

Of them, P has the lowest stability.

--- P ---
# Be2Tl

A geometry-optimized Be2Tl structure (PBE-GGA, Alexandria).

mass density = 7.777 Mg/m³
total magnetic moment = 0.00 μB/f.u.

abc: 7.2060 3.7532 7.0231
angles: 90.00 90.00 90.00
Closest atoms and distances in Å follow each position.
Space group Pnma (No. 62)
One atom of each set of equivalent atoms:
Be1 0.0355 0.2500 0.0696  5 Be 2.10-2.25
Be2 0.0362 0.2500 0.7701  3 Be 2.10-2.25
Tl1 0.1715 0.2500 0.4200  5 Be 2.62-2.75

--- Q ---
# Be2Tl

A geometry-optimized Be2Tl structure (PBE-GGA, Alexandria).

mass density = 8.149 Mg/m³
total magnetic moment = 0.00 μB/f.u.

abc: 4.3762 4.3762 5.4652
angles: 90.00 90.00 120.00
Closest atoms and distances in Å follow each position.
Space group P6_3/mmc (No. 194)
One atom of each set of equivalent atoms:
Be1 0.0000 0.0000 0.0000  8 Be 2.73-2.87, 6 Tl 2.87
Be2 0.3333 0.6667 0.2500  5 Tl 2.53-2.73
Tl1 0.3333 0.6667 0.7500  5 Be 2.53-2.73

--- R ---
# Be2Tl

A geometry-optimized Be2Tl structure (PBE-GGA, Alexandria).

mass density = 7.807 Mg/m³
total magnetic moment = 0.00 μB/f.u.

abc: 4.3328 4.3328 10.0796
angles: 90.00 90.00 90.00
Closest atoms and distances in Å follow each position.
Space group I4/mcm (No. 140)
One atom of each set of equivalent atoms:
Be1 0.1753 0.3247 0.0000  5 Be 2.15-2.26
Tl1 0.0000 0.0000 0.2500  8 Be 2.98, 4 Tl 3.06

Of them, Q has the lowest stability.

--- P ---
# Be3Tl4

A geometry-optimized Be3Tl4 structure (PBE-GGA, Alexandria).

mass density = 8.882 Mg/m³
total magnetic moment = 0.00 μB/f.u.

abc: 4.8598 4.8598 7.7195
angles: 90.00 90.00 120.00
Closest atoms and distances in Å follow each position.
Space group P6/mmm (No. 191)
One atom of each set of equivalent atoms:
Be1 0.0000 0.5000 0.0000  4 Be 2.43
Tl1 0.0000 0.0000 0.2059  6 Be 2.90, 1 Tl 3.18
Tl2 0.3333 0.6667 0.5000  3 Tl 2.81

--- Q ---
# Be3Tl4

A geometry-optimized Be3Tl4 structure (PBE-GGA, Alexandria).

mass density = 9.179 Mg/m³
total magnetic moment = 0.00 μB/f.u.

abc: 3.1184 3.1184 31.4248
angles: 90.00 90.00 90.00
Closest atoms and distances in Å follow each position.
Space group I4/mmm (No. 139)
One atom of each set of equivalent atoms:
Be1 0.0000 0.0000 0.0000  8 Tl 2.92, 4 Be 3.12
Be2 0.0000 0.0000 0.2585  4 Be 2.27
Tl1 0.0000 0.0000 0.1643  5 Be 2.96-3.28, 4 Tl 3.12
Tl2 0.0000 0.0000 0.4391  4 Be 2.92, 4 Tl 3.12

Of them, Q has the lowest stability.

--- P ---
# Be5Tl

A geometry-optimized Be5Tl structure (PBE-GGA, Alexandria).

mass density = 6.140 Mg/m³
total magnetic moment = 0.00 μB/f.u.

abc: 6.4621 6.4621 6.4621
angles: 90.00 90.00 90.00
Closest atoms and distances in Å follow each position.
Space group F-43m (No. 216)
One atom of each set of equivalent atoms:
Be1 0.0000 0.0000 0.0000  12 Be 2.67, 4 Tl 2.80
Be2 0.1284 0.1284 0.6284  6 Be 2.22-2.35
Tl1 0.2500 0.2500 0.2500  16 Be 2.69-2.80

--- Q ---
# Be5Tl

A geometry-optimized Be5Tl structure (PBE-GGA, Alexandria).

mass density = 5.698 Mg/m³
total magnetic moment = 0.00 μB/f.u.

abc: 7.2171 3.5185 6.2336
angles: 90.00 113.30 90.00
Closest atoms and distances in Å follow each position.
Space group C2/m (No. 12)
One atom of each set of equivalent atoms:
Be1 0.0000 0.0000 0.0000  6 Be 2.09-2.12
Be2 0.1340 0.5000 0.1724  7 Be 2.09-2.26
Be3 0.1803 0.5000 0.8575  5 Be 2.12-2.26
Tl1 0.0000 0.0000 0.5000  6 Be 2.62-2.73

Of them, P has the lowest stability.